Entry 1:
Computed, not measured: CsNd2Tc2N6 after structural relaxation at the PBE level of DFT.

Unit cell a=6.536 b=6.850 c=7.022 alpha=94.26 beta=115.42 gamma=117.30
Fractional positions:
Cs (0.000, 0.000, 0.000)
Nd (0.354, 0.676, 0.288)
Nd (0.646, 0.324, 0.712)
Tc (0.231, 0.641, 0.683)
Tc (0.769, 0.359, 0.317)
N (0.149, 0.626, 0.902)
N (0.349, 0.909, 0.625)
N (0.423, 0.524, 0.678)
N (0.577, 0.476, 0.322)
N (0.651, 0.091, 0.375)
N (0.851, 0.374, 0.098)

Results
The calculation puts the raw formation energy at -0.446 eV per atom. As for the space-group type: P-1, No. 2.

***

Entry 2:
Computed, not measured: CsNd2W2N6 after structural relaxation at the PBE level of DFT.

Unit cell a=6.874 b=6.894 c=7.238 alpha=117.69 beta=90.05 gamma=119.85
Fractional positions:
Cs (0.000, 0.000, 0.000)
Nd (0.324, 0.648, 0.712)
Nd (0.676, 0.352, 0.288)
W (0.378, 0.758, 0.309)
W (0.622, 0.242, 0.691)
N (0.090, 0.610, 0.355)
N (0.422, 0.846, 0.099)
N (0.481, 0.391, 0.646)
N (0.519, 0.609, 0.354)
N (0.578, 0.154, 0.901)
N (0.910, 0.390, 0.645)

Results
The calculation puts the raw formation energy at -0.551 eV per atom. As for the space-group type: P-1, No. 2.

***

Entry 3:
Computed, not measured: CsNiN2 after structural relaxation at the PBE level of DFT.

Unit cell a=7.067 b=7.067 c=7.067 alpha=38.49 beta=38.49 gamma=38.49
Fractional positions:
Cs (0.000, 0.000, 0.000)
Ni (0.500, 0.500, 0.500)
N (0.417, 0.417, 0.417)
N (0.583, 0.583, 0.583)

Results
The calculation puts the raw formation energy at 1.237 eV per atom. Its energy relative to the lowest polymorph listed for this composition is 0.00 eV/f.u. As for the space-group type: R-3m, No. 166.

***

Entry 4:
Computed, not measured: CsNiN after structural relaxation at the PBE level of DFT.

Unit cell a=3.661 b=3.661 c=10.831 alpha=90.00 beta=90.00 gamma=90.00
Fractional positions:
Cs (0.250, 0.250, 0.238)
Cs (0.750, 0.750, 0.762)
Ni (0.250, 0.750, 0.500)
Ni (0.750, 0.250, 0.500)
N (0.250, 0.250, 0.567)
N (0.750, 0.750, 0.433)

Results
The calculation puts the raw formation energy at 0.231 eV per atom. Its energy relative to the lowest polymorph listed for this composition is 0.40 eV/f.u. As for the space-group type: P4/nmm, No. 129.

***

Entry 5:
Computed, not measured: CsNi3N after structural relaxation at the PBE level of DFT.

Unit cell a=4.785 b=4.785 c=4.785 alpha=90.00 beta=90.00 gamma=90.00
Fractional positions:
Cs (0.000, 0.000, 0.000)
Ni (0.000, 0.000, 0.500)
Ni (0.000, 0.500, 0.000)
Ni (0.500, 0.000, 0.000)
N (0.500, 0.500, 0.500)

Results
The calculation puts the raw formation energy at 3.005 eV per atom. Its energy relative to the lowest polymorph listed for this composition is 10.86 eV/f.u. As for the space-group type: Pm-3m, No. 221.

***

Entry 6:
Computed, not measured: CsNiN after structural relaxation at the PBE level of DFT.

Unit cell a=5.512 b=5.512 c=3.448 alpha=90.00 beta=90.00 gamma=120.00
Fractional positions:
Cs (0.000, 0.000, 0.000)
Ni (0.667, 0.333, 0.500)
N (0.667, 0.333, 0.000)

Results
The calculation puts the raw formation energy at 0.123 eV per atom. Its energy relative to the lowest polymorph listed for this composition is 0.08 eV/f.u. As for the space-group type: P-6m2, No. 187.

***

Entry 7:
Computed, not measured: CsNi3N after structural relaxation at the PBE level of DFT.

Unit cell a=4.141 b=4.141 c=4.141 alpha=90.00 beta=90.00 gamma=90.00
Fractional positions:
Cs (0.000, 0.000, 0.000)
Ni (0.000, 0.500, 0.500)
Ni (0.500, 0.000, 0.500)
Ni (0.500, 0.500, 0.000)
N (0.500, 0.500, 0.500)

Results
The calculation puts the raw formation energy at 0.834 eV per atom. Its energy relative to the lowest polymorph listed for this composition is 0.00 eV/f.u. As for the space-group type: Pm-3m, No. 221.

***

Entry 8:
Computed, not measured: CsNiN2 after structural relaxation at the PBE level of DFT.

Unit cell a=4.419 b=4.419 c=4.419 alpha=60.00 beta=60.00 gamma=60.00
Fractional positions:
Cs (0.000, 0.000, 0.000)
Ni (0.500, 0.500, 0.500)
N (0.250, 0.250, 0.250)
N (0.750, 0.750, 0.750)

Results
The calculation puts the raw formation energy at 2.444 eV per atom. Its energy relative to the lowest polymorph listed for this composition is 4.83 eV/f.u. As for the space-group type: Fm-3m, No. 225.

***

Entry 9:
Computed, not measured: Cs2NiN4 after structural relaxation at the PBE level of DFT.

Unit cell a=5.648 b=7.671 c=10.646 alpha=68.93 beta=74.67 gamma=90.00
Fractional positions:
Cs (0.120, 0.314, 0.260)
Cs (0.380, 0.075, 0.740)
Cs (0.620, 0.925, 0.260)
Cs (0.880, 0.686, 0.740)
Ni (0.250, 0.500, 0.500)
Ni (0.750, 0.500, 0.500)
N (0.037, 0.686, 0.426)
N (0.061, 0.855, 0.377)
N (0.439, 0.732, 0.623)
N (0.463, 0.612, 0.574)
N (0.537, 0.388, 0.426)
N (0.561, 0.268, 0.377)
N (0.939, 0.145, 0.623)
N (0.963, 0.314, 0.574)

Results
The calculation puts the raw formation energy at -0.023 eV per atom. As for the space-group type: P-1, No. 2.

***

Entry 10:
Computed, not measured: CsNiN after structural relaxation at the PBE level of DFT.

Unit cell a=11.516 b=3.519 c=6.493 alpha=90.00 beta=90.00 gamma=90.00
Fractional positions:
Cs (0.159, 0.250, 0.070)
Cs (0.341, 0.750, 0.570)
Cs (0.659, 0.250, 0.430)
Cs (0.841, 0.750, 0.930)
Ni (0.050, 0.250, 0.579)
Ni (0.450, 0.750, 0.079)
Ni (0.550, 0.250, 0.921)
Ni (0.950, 0.750, 0.421)
N (0.070, 0.750, 0.644)
N (0.430, 0.250, 0.144)
N (0.570, 0.750, 0.856)
N (0.930, 0.250, 0.356)

Results
The calculation puts the raw formation energy at 0.098 eV per atom. Its energy relative to the lowest polymorph listed for this composition is 0.00 eV/f.u. As for the space-group type: Pnma, No. 62.

***

Entry 11:
Computed, not measured: CsNi2N after structural relaxation at the PBE level of DFT.

Unit cell a=5.976 b=5.976 c=5.976 alpha=60.00 beta=60.00 gamma=60.00
Fractional positions:
Cs (0.125, 0.125, 0.125)
Cs (0.875, 0.875, 0.875)
Ni (0.000, 0.500, 0.500)
Ni (0.500, 0.000, 0.500)
Ni (0.500, 0.500, 0.000)
Ni (0.500, 0.500, 0.500)
N (0.375, 0.375, 0.375)
N (0.625, 0.625, 0.625)

Results
The calculation puts the raw formation energy at 0.148 eV per atom. As for the space-group type: Fd-3m, No. 227.